Entry 1:
{
  "formula": "LiEr2Al3Pt4",
  "functional": "GGA-PBE",
  "state": "optimized geometry",
  "magmom_total_mub_per_atom": 0.00,
  "spacegroup": "No. 115",
  "energy_ev_per_atom": -5.6741,
  "volume_a3_per_cell": 181.5,
  "formation_energy_ev_per_atom": -1.0310,
  "lattice_angstrom": [[-0.4700, 2.5182, -3.1261], [-0.4847, -3.1601, -2.4727], [-10.9556, 0.2402, 1.8405]],
  "species": ["Al", "Al", "Li", "Pt", "Pt", "Er", "Er", "Al", "Pt", "Pt"],
  "fractional_positions": [[0.5000, 0.0000, 0.8687], [0.0000, 0.5000, 0.1313], [0.5000, 0.5000, 0.5000], [0.5000, 0.5000, 0.0000], [0.0000, 0.5000, 0.3531], [0.0000, 0.5000, 0.7426], [0.5000, 0.0000, 0.2574], [0.0000, 0.0000, 0.5000], [0.5000, 0.0000, 0.6469], [0.0000, 0.0000, 0.0000]]
}

=====

Entry 2:
{
  "formula": "LiErPuAl",
  "functional": "GGA-PBE",
  "state": "optimized geometry",
  "magmom_total_mub_per_atom": 1.53,
  "spacegroup": "No. 216",
  "energy_ev_per_atom": -6.1457,
  "volume_a3_per_cell": 94.2,
  "formation_energy_ev_per_atom": -0.0079,
  "lattice_angstrom": [[5.1068, 0.0000, 0.0000], [2.5534, 4.4226, 0.0000], [2.5534, 1.4742, 4.1697]],
  "species": ["Li", "Er", "Al", "Pu"],
  "fractional_positions": [[0.7500, 0.7500, 0.7500], [0.0000, 0.0000, 0.0000], [0.2500, 0.2500, 0.2500], [0.5000, 0.5000, 0.5000]]
}

=====

Entry 3:
{
  "formula": "LiErAlRh",
  "functional": "GGA-PBE",
  "state": "optimized geometry",
  "magmom_total_mub_per_atom": 0.00,
  "spacegroup": "No. 216",
  "energy_ev_per_atom": -4.9900,
  "volume_a3_per_cell": 68.8,
  "formation_energy_ev_per_atom": -0.5973,
  "lattice_angstrom": [[-3.2263, 0.4901, 3.2403], [-3.8451, -2.5157, -0.1847], [-0.7045, -3.3517, 3.0688]],
  "species": ["Al", "Rh", "Li", "Er"],
  "fractional_positions": [[0.2500, 0.2500, 0.2500], [0.5000, 0.5000, 0.5000], [0.0000, 0.0000, 0.0000], [0.7500, 0.7500, 0.7500]]
}

=====

Entry 4:
{
  "formula": "LiErAlRu",
  "functional": "GGA-PBE",
  "state": "optimized geometry",
  "magmom_total_mub_per_atom": 0.00,
  "spacegroup": "No. 216",
  "energy_ev_per_atom": -5.2338,
  "volume_a3_per_cell": 68.3,
  "formation_energy_ev_per_atom": -0.3601,
  "lattice_angstrom": [[-1.2053, 4.3671, -0.7263], [-3.2262, 1.0036, -3.1042], [-4.1130, 1.5029, 1.3697]],
  "species": ["Ru", "Er", "Al", "Li"],
  "fractional_positions": [[0.7500, 0.7500, 0.7500], [0.5000, 0.5000, 0.5000], [0.0000, 0.0000, 0.0000], [0.2500, 0.2500, 0.2500]]
}